# 1
An optimized crystal structure of Ti6Al16Ru7, computed with GGA-PBEsol.

As for the formation energy: -0.51 eV/atom. The electronic total energy comes out at -201.5 eV per formula unit. The total magnetization comes out at 0.0 μB per formula unit.

Cell lengths 12.1808, 12.1808, 12.1808 Å; angles 90.00, 90.00, 90.00 degrees
Space group Fm-3m (No. 225)
Unique sites:
Ti 0.0000 0.0000 0.2076 (multiplicity 24)
Al 0.1202 0.1202 0.3798 (multiplicity 32)
Al 0.1575 0.1575 0.1575 (multiplicity 32)
Ru 0.0000 0.0000 0.5000 (multiplicity 4)
Ru 0.0000 0.2500 0.2500 (multiplicity 24)

# 2
An optimized crystal structure of AlTl2Ru, computed with GGA-PBEsol.

As for the formation energy: 0.47 eV/atom. The electronic total energy comes out at -17.6 eV per formula unit. The value obtained for the energy above the most stable polymorph in this dataset is 0.224 eV per atom. The total magnetization comes out at 0.0 μB per formula unit.

Cell lengths 4.1838, 4.1838, 8.4395 Å; angles 90.00, 90.00, 90.00 degrees
Space group I4/mmm (No. 139)
Unique sites:
Al 0.0000 0.0000 0.0000 (multiplicity 2)
Tl 0.0000 0.5000 0.2500 (multiplicity 4)
Ru 0.0000 0.0000 0.5000 (multiplicity 2)

# 3
An optimized crystal structure of AlTl2Ru, computed with GGA-PBEsol.

As for the formation energy: 0.24 eV/atom. The electronic total energy comes out at -18.5 eV per formula unit. The value obtained for the energy above the most stable polymorph in this dataset is 0.000 eV per atom. The total magnetization comes out at 0.0 μB per formula unit.

Cell lengths 4.1456, 3.6619, 10.2820 Å; angles 90.00, 90.00, 90.00 degrees
Space group Amm2 (No. 38)
Unique sites:
Al 0.0000 0.0000 0.0000 (multiplicity 2)
Tl 0.0000 0.0000 0.2798 (multiplicity 2)
Tl 0.5000 0.0000 0.5944 (multiplicity 2)
Ru 0.5000 0.0000 0.8713 (multiplicity 2)

# 4
An optimized crystal structure of Al2RuW, computed with GGA-PBEsol.

As for the formation energy: -0.03 eV/atom. The electronic total energy comes out at -32.3 eV per formula unit. The value obtained for the energy above the most stable polymorph in this dataset is 0.062 eV per atom. The total magnetization comes out at 0.0 μB per formula unit.

Cell lengths 6.1248, 6.1248, 6.1248 Å; angles 90.00, 90.00, 90.00 degrees
Space group F-43m (No. 216)
Unique sites:
Al 0.0000 0.0000 0.0000 (multiplicity 4)
Al 0.2500 0.2500 0.2500 (multiplicity 4)
Ru 0.2500 0.2500 0.7500 (multiplicity 4)
W 0.0000 0.0000 0.5000 (multiplicity 4)

Q: electronic total energy of number 4 (Al2RuW)?
A: -32.3 eV per formula unit

Q: Look up the electronic total energy of the second one.
A: -17.6 eV per formula unit

Q: Which of these has the highest electronic total energy?
A: number 2

Q: What is the electronic total energy in the fourth record?
A: -32.3 eV per formula unit